Record 1
The following is a PBE-GGA calculation of Tb12PrSm3 after structural relaxation, from Alexandria.

a = 5.0661 Å, b = 5.0661 Å, c = 20.2572 Å
α = 90.00°, β = 90.00°, γ = 90.00°
With the nearest neighbours (Å) after each atom.
Space group P4/mmm (No. 123)
Asymmetric unit:
Tb1 0.0000 0.0000 0.0000  8 Tb 3.58, 4 Sm 3.58
Tb2 0.0000 0.0000 0.2492  8 Tb 3.57-3.58, 4 Sm 3.58
Tb3 0.0000 0.0000 0.5000  4 Pr 3.58, 8 Tb 3.60
Tb4 0.0000 0.5000 0.1247  8 Tb 3.57-3.58, 4 Sm 3.58
Tb5 0.0000 0.5000 0.3739  2 Sm 3.57, 8 Tb 3.58-3.60, 2 Pr 3.60
Pr1 0.5000 0.5000 0.5000  12 Tb 3.58-3.60
Sm1 0.5000 0.5000 0.0000  12 Tb 3.58
Sm2 0.5000 0.5000 0.2495  12 Tb 3.57-3.58

Energy of formation from the pure elements (meV/atom): 17
Magnetic moment (Bohr magnetons per cell): 0.000
E (eV/cell): -74.2


Record 2
The following is a PBE-GGA calculation of Li5La3Pb6 after structural relaxation, from Alexandria.

a = 4.8507 Å, b = 14.1585 Å, c = 10.5247 Å
α = 90.00°, β = 90.00°, γ = 90.00°
With the nearest neighbours (Å) after each atom.
Space group Pmmn (No. 59, origin choice 2)
Asymmetric unit:
Li1 0.2500 0.0985 0.1109  5 Pb 2.70-2.85
Li2 0.2500 0.6064 0.4840  5 Pb 2.90-3.21
Li3 0.2500 0.7500 0.2348  6 Pb 3.10-3.18, 2 Li 3.32
La1 0.2500 0.0502 0.7461  7 Pb 3.35-3.56, 7 Li 3.52-3.73
La2 0.2500 0.7500 0.7604  6 Li 3.51-3.55, 8 Pb 3.56-3.91
Pb1 0.2500 0.0898 0.3670  3 Li 2.70-2.90
Pb2 0.2500 0.2500 0.5695  2 Pb 3.11, 6 Li 3.18-3.21, 2 La 3.38
Pb3 0.2500 0.2500 0.9488  2 Li 2.74
Pb4 0.2500 0.5923 0.0244  4 Li 2.81-3.14

Energy of formation from the pure elements (meV/atom): -450
Magnetic moment (Bohr magnetons per cell): 0.000
E (eV/cell): -105.8


Record 3
The following is a PBE-GGA calculation of SrAg2Br after structural relaxation, from Alexandria.

a = 9.1650 Å, b = 9.1650 Å, c = 5.7611 Å
α = 90.00°, β = 90.00°, γ = 90.00°
With the nearest neighbours (Å) after each atom.
Space group I-42d (No. 122)
Asymmetric unit:
Sr1 0.0000 0.0000 0.0000  2 Br 2.88
Ag1 0.2326 0.2500 0.6250  2 Ag 2.90, 2 Br 3.21
Br1 0.0000 0.0000 0.5000  2 Sr 2.88, 4 Ag 3.21

Magnetic moment (Bohr magnetons per cell): 0.000
E (eV/cell): -43.1
Formation energy without anion corrections (meV/atom): -428
Relative energy among the computed polymorphs (meV/atom): 214.8


Record 4
The following is a PBE-GGA calculation of Cu2SiAu2 after structural relaxation, from Alexandria.

a = 6.1868 Å, b = 6.1868 Å, c = 3.9942 Å
α = 90.00°, β = 90.00°, γ = 90.00°
With the nearest neighbours (Å) after each atom.
Space group P4/mbm (No. 127)
Asymmetric unit:
Cu1 0.1432 0.3568 0.0000  2 Si 2.38, 1 Cu 2.51, 2 Au 2.61
Si1 0.0000 0.0000 0.0000  4 Cu 2.38
Au1 0.1642 0.6642 0.5000  6 Cu 2.61-2.76, 1 Au 2.87

Magnetic moment (Bohr magnetons per cell): 0.000
E (eV/cell): -39.6
Formation energy without anion corrections (meV/atom): 78
Relative energy among the computed polymorphs (meV/atom): 77.3


V for the records above, in order: 519.92, 722.83, 483.91, 152.89 Å³/cell